[1]
# MgRe3

A relaxed structure of MgRe3 (PBE, Alexandria via LeMat-Bulk).

- Space-group type: Cmmm
- E: -37.4 eV/cell
- ΔE to the lowest computed polymorph: 217 meV/atom

a = 4.9911 Å, b = 4.9911 Å, c = 2.7344 Å
α = 90.00°, β = 90.00°, γ = 115.39°
With the nearest neighbours (Å) after each atom.
Element x y z (fractional)
Re: 0.5000 0.0000 0.5000  8 Re 2.67-2.85, 4 Mg 2.85
Re: 0.0000 0.0000 0.0000  2 Mg 2.67, 10 Re 2.73-2.85
Re: 0.0000 0.5000 0.5000  8 Re 2.67-2.85, 4 Mg 2.85
Mg: 0.5000 0.5000 0.0000  10 Re 2.67-2.85, 2 Mg 2.73

***

[2]
# PmZrPaO6

A relaxed structure of PmZrPaO6 (PBE, Alexandria via LeMat-Bulk).

- E_form (uncorrected): -3431 meV/atom
- Space-group type: P-31c
- E: -166.8 eV/cell

a = 5.7464 Å, b = 5.7464 Å, c = 9.7037 Å
α = 90.00°, β = 90.00°, γ = 120.00°
With the nearest neighbours (Å) after each atom.
Element x y z (fractional)
O: 0.6448 0.6524 0.6374  1 Zr 2.13, 1 Pa 2.19
O: 0.0075 0.3552 0.6374  1 Zr 2.13, 1 Pa 2.19
O: 0.6448 0.9925 0.8626  1 Zr 2.13, 1 Pa 2.19
O: 0.9925 0.3476 0.1374  1 Zr 2.13, 1 Pa 2.19
O: 0.3552 0.0075 0.1374  1 Zr 2.13, 1 Pa 2.19
O: 0.6524 0.6448 0.1374  1 Zr 2.13, 1 Pa 2.19
O: 0.0075 0.6524 0.8626  1 Zr 2.13, 1 Pa 2.19
O: 0.3552 0.3476 0.3626  1 Zr 2.13, 1 Pa 2.19
O: 0.6524 0.0075 0.3626  1 Zr 2.13, 1 Pa 2.19
O: 0.9925 0.6448 0.3626  1 Zr 2.13, 1 Pa 2.19
O: 0.3476 0.9925 0.6374  1 Zr 2.13, 1 Pa 2.19
O: 0.3476 0.3552 0.8626  1 Zr 2.13, 1 Pa 2.19
Pm: 0.0000 0.0000 0.0000  6 O 2.42
Pm: 0.0000 0.0000 0.5000  6 O 2.42
Pa: 0.3333 0.6667 0.2500  6 O 2.19
Pa: 0.6667 0.3333 0.7500  6 O 2.19
Zr: 0.3333 0.6667 0.7500  6 O 2.13
Zr: 0.6667 0.3333 0.2500  6 O 2.13

***

[3]
# Er9Al2In

A relaxed structure of Er9Al2In (PBE, Alexandria via LeMat-Bulk).

- Space-group type: P4/mmm
- E: -53.9 eV/cell

a = 4.7448 Å, b = 4.7448 Å, c = 14.2248 Å
α = 90.00°, β = 90.00°, γ = 90.00°
With the nearest neighbours (Å) after each atom.
Element x y z (fractional)
Er: 0.0000 0.5000 0.1720  2 Al 3.32, 8 Er 3.32-3.41, 2 In 3.41
Er: 0.5000 0.5000 0.6645  8 Er 3.32-3.33, 4 Al 3.36
Er: 0.5000 0.5000 0.3355  8 Er 3.32-3.33, 4 Al 3.36
Er: 0.5000 0.0000 0.8280  2 Al 3.32, 8 Er 3.32-3.41, 2 In 3.41
Er: 0.5000 0.0000 0.1720  2 Al 3.32, 8 Er 3.32-3.41, 2 In 3.41
Er: 0.5000 0.0000 0.5000  8 Er 3.33-3.36, 4 Al 3.34
Er: 0.5000 0.5000 0.0000  4 In 3.36, 8 Er 3.41
Er: 0.0000 0.5000 0.8280  2 Al 3.32, 8 Er 3.32-3.41, 2 In 3.41
Er: 0.0000 0.5000 0.5000  8 Er 3.33-3.36, 4 Al 3.34
Al: 0.0000 0.0000 0.3348  12 Er 3.32-3.36
Al: 0.0000 0.0000 0.6652  12 Er 3.32-3.36
In: 0.0000 0.0000 0.0000  12 Er 3.36-3.41

***

[4]
# GeBiPd

A relaxed structure of GeBiPd (PBE, Alexandria via LeMat-Bulk).

- Space-group type: Amm2
- E: -27.8 eV/cell
- ΔE to the lowest computed polymorph: 144 meV/atom

a = 3.6259 Å, b = 3.6216 Å, c = 11.8352 Å
α = 90.00°, β = 90.00°, γ = 120.04°
With the nearest neighbours (Å) after each atom.
Element x y z (fractional)
Pd: 0.4430 0.8860 0.5000  6 Ge 2.57
Pd: 0.4457 0.8914 0.0000  6 Bi 2.85-2.86
Ge: 0.7767 0.5535 0.3735  3 Pd 2.57
Ge: 0.7767 0.5535 0.6265  3 Pd 2.57
Bi: 0.1122 0.2244 0.8358  3 Pd 2.85-2.86
Bi: 0.1122 0.2244 0.1642  3 Pd 2.85-2.86

***

[5]
# Ho3Si4Pt

A relaxed structure of Ho3Si4Pt (PBE, Alexandria via LeMat-Bulk).

- E_form (uncorrected): -717 meV/atom
- Space-group type: Immm
- E: -47.2 eV/cell

a = 4.2541 Å, b = 5.6517 Å, c = 8.0272 Å
α = 110.61°, β = 105.37°, γ = 90.00°
With the nearest neighbours (Å) after each atom.
Element x y z (fractional)
Si: 0.3782 0.5847 0.7563  1 Si 2.33, 1 Pt 2.42
Si: 0.3782 0.1716 0.7563  1 Si 2.33, 1 Pt 2.42
Si: 0.6218 0.4153 0.2437  1 Si 2.33, 1 Pt 2.42
Si: 0.6218 0.8284 0.2437  1 Si 2.33, 1 Pt 2.42
Ho: 0.0000 0.5000 0.0000  8 Si 3.00
Ho: 0.8078 0.8078 0.6156  6 Si 2.88-2.92
Ho: 0.1922 0.1922 0.3844  6 Si 2.88-2.92
Pt: 0.5000 0.0000 0.0000  4 Si 2.42